(1)
DFT (GGA-PBE) results for a relaxed Cu2AsOs crystal.

The total moment comes out at 0.0000 μB per atom. The formation energy comes out at 0.24 eV/atom. The calculation puts the density of states at the Fermi level at 5.576 states/eV/cell.

Geometry as POSCAR:
```
Cu2AsOs
1.0
8.835 0.000 0.000
0.000 3.012 0.000
-1.655 0.000 4.176
Cu As Os
4 2 2
Direct
0.000 0.000 0.000
0.246 0.500 0.098
0.500 0.500 0.000
0.746 0.000 0.098
0.231 0.000 0.580
0.731 0.500 0.580
0.000 0.500 0.509
0.500 0.000 0.509
```

---

(2)
DFT (GGA-PBE) results for a relaxed CuAsOs2 crystal.

The total moment comes out at 0.0000 μB per atom. The formation energy comes out at 0.71 eV/atom. The calculation puts the density of states at the Fermi level at 7.036 states/eV/cell.

Geometry as POSCAR:
```
CuAsOs2
1.0
2.730 0.000 0.000
0.000 4.670 0.000
0.000 0.000 9.347
Cu As Os
2 2 4
Direct
0.000 0.000 0.000
0.500 0.500 0.000
0.000 0.000 0.500
0.500 0.500 0.500
0.000 0.500 0.236
0.000 0.500 0.764
0.500 0.000 0.236
0.500 0.000 0.764
```

---

(3)
DFT (GGA-PBE) results for a relaxed CuAs2Os crystal.

The value obtained for the energy relative to the lowest polymorph listed for this composition is 10.2 kJ per mole of atoms. The total moment comes out at 0.0000 μB per atom. The formation energy comes out at 0.28 eV/atom. The calculation puts the density of states at the Fermi level at 3.573 states/eV/cell.

Geometry as POSCAR:
```
CuAs2Os
1.0
3.013 0.000 0.000
0.000 3.760 0.000
0.000 0.000 12.526
Cu As Os
2 4 2
Direct
0.000 0.000 0.000
0.500 0.500 0.500
0.000 0.000 0.514
0.000 0.500 0.263
0.500 0.000 0.763
0.500 0.500 0.014
0.000 0.500 0.848
0.500 0.000 0.348
```

---

(4)
DFT (GGA-PBE) results for a relaxed CuAs2Os crystal.

The value obtained for the energy relative to the lowest polymorph listed for this composition is 7.6 kJ per mole of atoms. The total moment comes out at 0.0000 μB per atom. The formation energy comes out at 0.26 eV/atom. The calculation puts the density of states at the Fermi level at 2.685 states/eV/cell.

Geometry as POSCAR:
```
CuAs2Os
1.0
3.130 0.000 0.000
0.000 3.130 0.000
0.000 0.000 7.239
Cu As Os
1 2 1
Direct
0.000 0.000 0.000
0.000 0.000 0.400
0.500 0.500 0.842
0.500 0.500 0.215
```

---

(5)
DFT (GGA-PBE) results for a relaxed CuAsOs2 crystal.

The total moment comes out at 0.0000 μB per atom. The formation energy comes out at 0.41 eV/atom. The calculation puts the density of states at the Fermi level at 2.757 states/eV/cell.

Geometry as POSCAR:
```
CuAsOs2
1.0
2.844 0.000 0.000
0.000 3.759 0.000
0.000 0.000 5.398
Cu As Os
1 1 2
Direct
0.000 0.000 0.000
0.500 0.500 0.759
0.000 0.000 0.479
0.500 0.500 0.252
```

---

(6)
DFT (GGA-PBE) results for a relaxed Cu2AsOs2 crystal.

The value obtained for the energy relative to the lowest polymorph listed for this composition is 0.0 kJ per mole of atoms. The total moment comes out at 0.0000 μB per atom. The formation energy comes out at 0.43 eV/atom. The calculation puts the density of states at the Fermi level at 6.026 states/eV/cell.

Geometry as POSCAR:
```
Cu2AsOs2
1.0
6.178 0.000 0.000
0.000 6.178 0.000
0.000 0.000 3.990
Cu As Os
4 2 4
Direct
0.158 0.342 0.000
0.342 0.842 0.000
0.658 0.158 0.000
0.842 0.658 0.000
0.000 0.000 0.500
0.500 0.500 0.500
0.142 0.642 0.500
0.358 0.142 0.500
0.642 0.858 0.500
0.858 0.358 0.500
```

---

Q: Look up the total moment of the second one.
A: 0.0000 μB per atom